# MnGeS3 PBE optimized geometry
# final energy	-5.5660	eV per atom
# spin magnetization	16.0	μB per cell
# space-group type	P2_1/c, No. 14
# calculated volume	416	Å³ per cell
# ΔE_f (raw)	-0.332	eV/atom
# crystal system	monoclinic
# energy relative to the lowest polymorph listed for this composition	0.011	eV/atom
data_MnGeS3
_chemical_formula_sum 'Mn4 Ge4 S12'
_symmetry_space_group_name_H-M 'P 1'
_symmetry_Int_Tables_number 1
_cell_length_a 6.6772
_cell_length_b 5.6968
_cell_length_c 12.0770
_cell_angle_alpha 90.00
_cell_angle_beta 114.99
_cell_angle_gamma 90.00
loop_
_symmetry_equiv_pos_as_xyz
'x,y,z'
loop_
_atom_site_label
_atom_site_type_symbol
_atom_site_fract_x
_atom_site_fract_y
_atom_site_fract_z
_atom_site_occupancy
Mn1 Mn 0.1813 0.0272 0.1663 1
Mn2 Mn 0.1813 0.4728 0.6663 1
Mn3 Mn 0.8187 0.5272 0.3337 1
Mn4 Mn 0.8187 0.9728 0.8337 1
Ge1 Ge 0.3423 0.5720 0.4118 1
Ge2 Ge 0.3423 0.9280 0.9118 1
Ge3 Ge 0.6577 0.0720 0.0882 1
Ge4 Ge 0.6577 0.4280 0.5882 1
S1 S 0.1198 0.2277 0.8139 1
S2 S 0.1198 0.2723 0.3139 1
S3 S 0.1222 0.7333 0.4920 1
S4 S 0.1222 0.7667 0.9920 1
S5 S 0.4855 0.6906 0.8182 1
S6 S 0.4855 0.8094 0.3182 1
S7 S 0.5145 0.1906 0.6818 1
S8 S 0.5145 0.3094 0.1818 1
S9 S 0.8778 0.2333 0.0080 1
S10 S 0.8778 0.2667 0.5080 1
S11 S 0.8802 0.7277 0.6861 1
S12 S 0.8802 0.7723 0.1861 1